{
  "formula": "Te2MoO8",
  "functional": "GGA+U",
  "state": "optimized geometry",
  "lattice": [[5.783, -2.711, 0.000], [5.783, 2.711, 0.000], [-1.895, 0.000, 4.538]],
  "species": ["Te", "Te", "Mo", "O", "O", "O", "O", "O", "O", "O", "O"],
  "fractional_positions": [[0.244, 0.244, 0.279], [0.756, 0.756, 0.721], [0.000, 0.000, 0.500], [0.087, 0.087, 0.903], [0.102, 0.633, 0.557], [0.329, 0.329, 0.031], [0.367, 0.898, 0.443], [0.633, 0.102, 0.557], [0.671, 0.671, 0.969], [0.898, 0.367, 0.443], [0.913, 0.913, 0.097]],
  "total_energy_ev_per_atom": -5.63,
  "space_group": "C2/m",
  "volume_a3_per_cell": 142.3
}